Record 1
The following is a DFT calculation (GGA-PBE) of a relaxed structure of Ho5Ge3.

Cell lengths 8.4647, 8.4647, 6.3761 Å; angles 90.00, 90.00, 120.00 degrees
Space group P6_3/mcm (No. 193)
Unique sites:
Ho  0.0000  0.2414  0.2500 (multiplicity 6)
Ho  0.3333  0.6667  0.0000 (multiplicity 4)
Ge  0.0000  0.3940  0.7500 (multiplicity 6)

Output
The value obtained for the final energy is -86.345 eV/cell. As for the size of the total moment: 0.00 μB per formula unit.


Record 2
The following is a DFT calculation (GGA-PBE) of a relaxed structure of Ho3Ge.

Cell lengths 3.874, 5.014, 10.980 Å; angles 90.00, 90.00, 90.00 degrees
Space group Immm (No. 71)
Unique sites:
Ho  0.000  0.000  0.000 (multiplicity 2)
Ho  0.000  0.500  0.208 (multiplicity 4)
Ge  0.000  0.000  0.500 (multiplicity 2)

Output
The value obtained for the final energy is -39.701 eV/cell. As for the size of the total moment: 0.00 μB per formula unit.


Record 3
The following is a DFT calculation (GGA-PBE) of a relaxed structure of HoGe.

Cell lengths 4.257, 10.686, 3.957 Å; angles 90.00, 90.00, 90.00 degrees
Space group Cmcm (No. 63)
Unique sites:
Ho  0.000  0.138  0.250 (multiplicity 4)
Ge  0.000  0.414  0.250 (multiplicity 4)

Output
The value obtained for the final energy is -43.686 eV/cell. As for the size of the total moment: 0.00 μB per formula unit.


Record 4
The following is a DFT calculation (GGA-PBE) of a relaxed structure of Ho3Ge4.

Cell lengths 4.048, 10.660, 14.252 Å; angles 90.00, 90.00, 90.00 degrees
Space group Cmcm (No. 63)
Unique sites:
Ho  0.000  0.045  0.250 (multiplicity 4)
Ho  0.000  0.330  0.097 (multiplicity 8)
Ge  0.000  0.000  0.000 (multiplicity 4)
Ge  0.000  0.226  0.750 (multiplicity 4)
Ge  0.000  0.381  0.608 (multiplicity 8)

Output
The value obtained for the final energy is -150.765 eV/cell. As for the size of the total moment: 0.00 μB per formula unit.


Record 5
The following is a DFT calculation (GGA-PBE) of a relaxed structure of Ho4Ge3.

Cell lengths 8.799, 8.799, 8.799 Å; angles 90.00, 90.00, 90.00 degrees
Space group I-43d (No. 220)
Unique sites:
Ho  0.066  0.066  0.066 (multiplicity 16)
Ge  0.000  0.250  0.375 (multiplicity 12)

Output
The value obtained for the final energy is -152.721 eV/cell. As for the size of the total moment: 0.00 μB per formula unit.


Record 6
The following is a DFT calculation (GGA-PBE) of a relaxed structure of Ho4Ge.

Cell lengths 5.483, 5.483, 5.483 Å; angles 90.00, 90.00, 90.00 degrees
Space group Pm-3m (No. 221)
Unique sites:
Ho  0.000  0.000  0.000 (multiplicity 1)
Ho  0.000  0.500  0.500 (multiplicity 3)
Ge  0.500  0.500  0.500 (multiplicity 1)

Output
The value obtained for the final energy is -22.997 eV/cell. As for the size of the total moment: 0.01 μB per formula unit.


Record 7
The following is a DFT calculation (GGA-PBE) of a relaxed structure of Ho4GeI5.

Cell lengths 18.993, 4.186, 8.770 Å; angles 90.00, 102.52, 90.00 degrees
Space group C2/m (No. 12)
Unique sites:
Ho  0.000  0.000  0.210 (multiplicity 4)
Ho  0.147  0.500  0.073 (multiplicity 4)
Ge  0.000  0.500  0.000 (multiplicity 2)
I  0.000  0.500  0.500 (multiplicity 2)
I  0.166  0.000  0.335 (multiplicity 4)
I  0.172  0.000  0.828 (multiplicity 4)

Output
The value obtained for the final energy is -84.377 eV/cell. As for the size of the total moment: 0.00 μB per formula unit. As for the uncorrected formation energy: -1.151 eV per atom.


Record 8
The following is a DFT calculation (GGA-PBE) of a relaxed structure of Ho4Ge2I5.

Cell lengths 4.199, 8.408, 20.239 Å; angles 90.00, 90.00, 90.00 degrees
Space group Immm (No. 71)
Unique sites:
Ho  0.000  0.000  0.190 (multiplicity 4)
Ho  0.000  0.296  0.500 (multiplicity 4)
Ge  0.000  0.000  0.059 (multiplicity 4)
I  0.000  0.227  0.329 (multiplicity 8)
I  0.000  0.500  0.000 (multiplicity 2)

Output
The value obtained for the final energy is -90.219 eV/cell. As for the size of the total moment: 0.00 μB per formula unit. As for the uncorrected formation energy: -0.892 eV per atom.


Record 9
The following is a DFT calculation (GGA-PBE) of a relaxed structure of Ho2GeI.

Cell lengths 4.2298, 4.2298, 22.0622 Å; angles 90.00, 90.00, 120.00 degrees
Space group R-3m (No. 166, hexagonal axes)
Unique sites:
Ho  0.0000  0.0000  0.2308 (multiplicity 6)
Ge  0.0000  0.0000  0.5000 (multiplicity 3)
I  0.0000  0.0000  0.0000 (multiplicity 3)

Output
The value obtained for the final energy is -57.092 eV/cell. As for the size of the total moment: 0.00 μB per formula unit. As for the uncorrected formation energy: -0.927 eV per atom.


Record 10
The following is a DFT calculation (GGA-PBE) of a relaxed structure of HoGeI.

Cell lengths 4.144, 4.248, 12.323 Å; angles 90.00, 90.00, 90.00 degrees
Space group Pmmn (No. 59, origin choice 2)
Unique sites:
Ho  0.250  0.250  0.167 (multiplicity 2)
Ge  0.250  0.750  0.006 (multiplicity 2)
I  0.250  0.750  0.654 (multiplicity 2)

Output
The value obtained for the final energy is -26.117 eV/cell. As for the size of the total moment: 0.00 μB per formula unit. As for the uncorrected formation energy: -0.771 eV per atom.


Record 11
The following is a DFT calculation (GGA-PBE) of a relaxed structure of Ho4Ge2I3.

Cell lengths 4.2230, 4.2230, 18.6079 Å; angles 90.00, 90.00, 120.00 degrees
Space group P-3m1 (No. 164)
Unique sites:
Ho  0.0000  0.0000  0.2193 (multiplicity 2)
Ho  0.3333  0.6667  0.3787 (multiplicity 2)
Ge  0.3333  0.6667  0.6968 (multiplicity 2)
I  0.0000  0.0000  0.5000 (multiplicity 1)
I  0.3333  0.6667  0.1124 (multiplicity 2)

Output
The value obtained for the final energy is -41.972 eV/cell. As for the size of the total moment: 0.00 μB per formula unit. As for the uncorrected formation energy: -1.086 eV per atom.


Record 12
The following is a DFT calculation (GGA-PBE) of a relaxed structure of Ho2GeI.

Cell lengths 4.1807, 4.1807, 22.5793 Å; angles 90.00, 90.00, 120.00 degrees
Space group R3m (No. 160, hexagonal axes)
Unique sites:
Ho  0.0000  0.0000  0.0000 (multiplicity 3)
Ho  0.0000  0.0000  0.2043 (multiplicity 3)
Ge  0.0000  0.0000  0.6003 (multiplicity 3)
I  0.0000  0.0000  0.7702 (multiplicity 3)

Output
The value obtained for the final energy is -56.840 eV/cell. As for the size of the total moment: 0.00 μB per formula unit. As for the uncorrected formation energy: -0.906 eV per atom.